w.
{"formula": "Zr2WBr", "functional": "PBE-GGA", "state": "optimized geometry", "lattice_angstrom": [[3.2391, 0.0000, 0.0000], [0.0000, 4.8611, 0.0000], [-1.2348, 0.0000, 5.1807]], "species": ["Zr", "Zr", "W", "Br"], "frac_coords": [[0.0000, 0.0000, 0.0000], [0.1199, 0.5000, 0.5695], [0.5701, 0.0000, 0.5107], [0.4297, 0.5000, 0.1165]], "volume_a3_per_atom": 20.39, "m_tot_mub_per_fu": 0.0}

***

x.
{"formula": "Zr2WBr", "functional": "PBE-GGA", "state": "optimized geometry", "lattice_angstrom": [[3.5949, 0.0000, 0.0000], [0.0000, 4.3104, 0.0000], [0.0000, 0.0000, 5.1831]], "species": ["Zr", "Zr", "W", "Br"], "frac_coords": [[0.0000, 0.0000, 0.0000], [0.5000, 0.0000, 0.5000], [0.0000, 0.5000, 0.5000], [0.5000, 0.5000, 0.0000]], "volume_a3_per_atom": 20.08, "m_tot_mub_per_fu": 0.0}

***

y.
{"formula": "Zr2WBr", "functional": "PBE-GGA", "state": "optimized geometry", "lattice_angstrom": [[1.7229, -2.5781, 0.0000], [1.7229, 2.5781, 0.0000], [0.0000, 0.0000, 10.1164]], "species": ["Zr", "Zr", "W", "Br"], "frac_coords": [[0.0000, 0.0000, 0.0000], [0.5000, 0.5000, 0.2565], [0.0000, 0.0000, 0.4614], [0.5000, 0.5000, 0.7911]], "volume_a3_per_atom": 22.47, "m_tot_mub_per_fu": 0.0}

***

The structure with the least stability is x.